#1
# SrHF4

A relaxed structure of SrHF4 (PBE, Alexandria via LeMat-Bulk).

Values from the calculation:
volume	181	Å³ per cell
symmetry	No. 11
size of the total moment	1.84	Bohr magnetons per cell

Cell and atoms, written as extended XYZ:
```
12
Lattice="0.0478 -4.5264 3.4663 -0.8764 2.2126 -6.5858 7.8006 -0.9592 -1.3603" Properties=species:S:1:pos:R:3 pbc="T T T"
H 1.2364 -2.2629 -3.0064
H 5.7357 -1.0101 -1.4734
F 4.1303 -4.0264 0.2975
F 1.3514 -1.1086 -3.1612
F 7.0825 -4.3894 -0.2173
F 2.8418 0.7534 -4.7773
F 5.6207 -2.1644 -1.3186
F -0.1104 1.1164 -4.2625
F 1.9137 -1.0548 0.0253
F 5.0585 -2.2182 -4.5052
Sr 1.8070 -3.2719 0.9772
Sr 5.1651 -0.0012 -5.4571
```


#2
# SrHF4

A relaxed structure of SrHF4 (PBE, Alexandria via LeMat-Bulk).

Values from the calculation:
volume	227	Å³ per cell
symmetry	No. 109
size of the total moment	2.01	Bohr magnetons per cell

Cell and atoms, written as extended XYZ:
```
12
Lattice="6.1905 0.7829 -2.5756 -2.5020 5.7163 -2.5756 -0.4443 -0.7829 6.6902" Properties=species:S:1:pos:R:3 pbc="T T T"
Sr 3.2914 0.7370 1.4732
Sr 1.3404 2.3619 -1.8719
F 0.2697 4.1237 -0.3767
F 2.3543 2.5309 2.7819
F 3.3611 2.4771 -0.5632
F -0.9937 1.6941 3.3269
F 1.2117 0.7212 0.0030
F 1.8573 4.8899 -2.5938
F 5.3530 0.7212 2.9684
F 1.9488 -0.2147 3.3481
H 4.3574 2.6154 -0.0156
H 2.4065 4.2402 -3.3607
```


Computed stability ranking, most favorable first: #1, #2


#1
# SrHF

A relaxed structure of SrHF (PBE, Alexandria via LeMat-Bulk).

Values from the calculation:
volume	63	Å³ per cell
symmetry	No. 156
size of the total moment	0.05	Bohr magnetons per cell

Cell and atoms, written as extended XYZ:
```
3
Lattice="4.6631 0.0000 0.0000 0.0000 3.9351 0.0000 0.0000 -1.9676 3.4079" Properties=species:S:1:pos:R:3 pbc="T T T"
F 3.7265 1.9676 1.1360
H 0.9881 0.0000 2.2719
Sr 4.6116 0.0000 0.0000
```


#2
# SrHF

A relaxed structure of SrHF (PBE, Alexandria via LeMat-Bulk).

Values from the calculation:
volume	50	Å³ per cell
symmetry	No. 216
size of the total moment	0.05	Bohr magnetons per cell

Cell and atoms, written as extended XYZ:
```
3
Lattice="4.1418 0.0000 0.0000 2.0709 3.5869 0.0000 2.0709 1.1956 3.3818" Properties=species:S:1:pos:R:3 pbc="T T T"
H 0.0000 0.0000 0.0000
F 4.1418 2.3913 1.6909
Sr 2.0709 1.1956 0.8454
```


Computed stability ranking, most favorable first: #2, #1


#1
# TaHF2

A relaxed structure of TaHF2 (PBE, Alexandria via LeMat-Bulk).

Values from the calculation:
volume	45	Å³ per cell
symmetry	No. 166
size of the total moment	0.00	Bohr magnetons per cell

Cell and atoms, written as extended XYZ:
```
4
Lattice="-6.4616 1.3520 0.1943 -6.0423 0.0309 2.6661 -5.4710 2.7960 2.4225" Properties=species:S:1:pos:R:3 pbc="T T T"
H 0.0000 0.0000 0.0000
Ta -8.9875 2.0895 2.6414
F -16.8962 3.9281 4.9658
F -1.0788 0.2508 0.3171
```


#2
# TaHF2

A relaxed structure of TaHF2 (PBE, Alexandria via LeMat-Bulk).

Values from the calculation:
volume	39	Å³ per cell
symmetry	No. 225
size of the total moment	2.00	Bohr magnetons per cell

Cell and atoms, written as extended XYZ:
```
4
Lattice="0.0000 2.6822 2.6822 2.6822 0.0000 2.6822 2.6822 2.6822 0.0000" Properties=species:S:1:pos:R:3 pbc="T T T"
Ta 2.6822 2.6822 2.6822
F 1.3411 1.3411 1.3411
F 4.0233 4.0233 4.0233
H 0.0000 0.0000 0.0000
```


Computed stability ranking, most favorable first: #1, #2


#1
# TaHF2

A relaxed structure of TaHF2 (PBE, Alexandria via LeMat-Bulk).

Values from the calculation:
volume	43	Å³ per cell
symmetry	No. 166
size of the total moment	0.00	Bohr magnetons per cell

Cell and atoms, written as extended XYZ:
```
4
Lattice="3.0927 3.3357 4.3691 5.1750 1.7990 3.1249 4.2661 4.2358 1.9077" Properties=species:S:1:pos:R:3 pbc="T T T"
F 11.1481 8.3346 8.3623
F 1.3857 1.0360 1.0395
Ta 0.0000 0.0000 0.0000
H 6.2669 4.6853 4.7009
```


#2
# TaHF2

A relaxed structure of TaHF2 (PBE, Alexandria via LeMat-Bulk).

Values from the calculation:
volume	81	Å³ per cell
symmetry	No. 122
size of the total moment	0.00	Bohr magnetons per cell

Cell and atoms, written as extended XYZ:
```
8
Lattice="-1.0864 -3.6843 -2.5232 3.1055 1.2426 -3.1516 3.6831 -3.2622 -1.0079" Properties=species:S:1:pos:R:3 pbc="T T T"
Ta 0.0000 0.0000 0.0000
Ta 1.8031 -4.0837 -3.1842
F 4.0144 -4.7891 -5.1991
F 0.8100 -2.3524 -1.8048
F 4.0341 -3.1564 -3.4062
F 2.5459 -1.1100 -2.9553
H 1.0096 -1.2209 -2.8374
H 3.8991 -1.6202 -3.4984
```


Computed stability ranking, most favorable first: #1, #2


#1
# TaH3F

A relaxed structure of TaH3F (PBE, Alexandria via LeMat-Bulk).

Values from the calculation:
volume	39	Å³ per cell
symmetry	No. 221
size of the total moment	0.00	Bohr magnetons per cell

Cell and atoms, written as extended XYZ:
```
5
Lattice="-0.2913 -2.3691 2.3941 3.2997 -0.6826 -0.2740 0.6755 2.3132 2.3712" Properties=species:S:1:pos:R:3 pbc="T T T"
H 1.6499 -0.3413 -0.1370
H 0.3377 1.1566 1.1856
H -0.1456 -1.1846 1.1971
F 0.0000 0.0000 0.0000
Ta 1.8420 -0.3693 2.2456
```


#2
# TaH3F

A relaxed structure of TaH3F (PBE, Alexandria via LeMat-Bulk).

Values from the calculation:
volume	47	Å³ per cell
symmetry	No. 221
size of the total moment	0.00	Bohr magnetons per cell

Cell and atoms, written as extended XYZ:
```
5
Lattice="3.5995 0.0000 0.0000 0.0000 3.5995 0.0000 0.0000 0.0000 3.5995" Properties=species:S:1:pos:R:3 pbc="T T T"
H 0.0000 1.7998 0.0000
H 1.7998 0.0000 0.0000
H 0.0000 0.0000 1.7998
F 1.7998 1.7998 1.7998
Ta 0.0000 0.0000 0.0000
```


Computed stability ranking, most favorable first: #2, #1


#1
# TcHF2

A relaxed structure of TcHF2 (PBE, Alexandria via LeMat-Bulk).

Values from the calculation:
volume	73	Å³ per cell
symmetry	No. 122
size of the total moment	2.32	Bohr magnetons per cell

Cell and atoms, written as extended XYZ:
```
8
Lattice="-4.4111 -0.1542 -0.1849 0.2337 -3.5584 -2.6075 -2.1378 -4.0714 1.6223" Properties=species:S:1:pos:R:3 pbc="T T T"
H -1.9964 -4.7431 -1.1907
H -2.0887 -1.8563 -1.3962
F -2.5699 -1.5348 -0.0069
F -1.6320 -3.2853 -1.2762
F -5.2952 -5.7437 -0.8174
F -3.1332 -5.0042 -0.2396
Tc -4.3188 -3.0410 0.0206
Tc 0.0000 0.0000 0.0000
```


#2
# TcHF2

A relaxed structure of TcHF2 (PBE, Alexandria via LeMat-Bulk).

Values from the calculation:
volume	39	Å³ per cell
symmetry	No. 166
size of the total moment	0.00	Bohr magnetons per cell

Cell and atoms, written as extended XYZ:
```
4
Lattice="2.8671 2.2939 5.3593 4.2818 0.0913 4.8849 4.8668 2.3494 3.6055" Properties=species:S:1:pos:R:3 pbc="T T T"
H 0.0000 0.0000 0.0000
F 11.2867 4.4473 13.0094
F 0.7290 0.2872 0.8402
Tc 6.0078 2.3673 6.9248
```


Computed stability ranking, most favorable first: #2, #1